Record 1
Material: AcPr2Zr
Method: DFT, PBE
State: optimized geometry

Values from the calculation:
- density of states at the Fermi level (states/eV per cell) = 16.38
- space group = R-3m (166)
- energy above the lowest structure with this stoichiometry (eV per formula unit) = 0.26
- DFT total energy (eV/atom) = -5.30

Unit cell a=3.583 b=3.583 c=37.670 alpha=90.00 beta=90.00 gamma=120.00
Fractional positions:
Ac: 0.000 0.000 0.000
Ac: 0.333 0.667 0.667
Ac: 0.667 0.333 0.333
Pr: 0.000 0.000 0.096
Pr: 0.000 0.000 0.904
Pr: 0.333 0.667 0.571
Pr: 0.333 0.667 0.763
Pr: 0.667 0.333 0.237
Pr: 0.667 0.333 0.429
Zr: 0.000 0.000 0.500
Zr: 0.333 0.667 0.167
Zr: 0.667 0.333 0.833

***

Record 2
Material: YBe2Mo
Method: DFT, PBE
State: optimized geometry

Values from the calculation:
- density of states at the Fermi level (states/eV per cell) = 2.85
- space group = P4/mmm (123)
- energy above the lowest structure with this stoichiometry (eV per formula unit) = 1.24
- DFT total energy (eV/atom) = -5.82

Unit cell a=4.171 b=4.171 c=3.546 alpha=90.00 beta=90.00 gamma=90.00
Fractional positions:
Y: 0.000 0.000 0.000
Be: 0.000 0.500 0.500
Be: 0.500 0.000 0.500
Mo: 0.500 0.500 0.000

***

Record 3
Material: Nd2CdCu
Method: DFT, PBE
State: optimized geometry

Values from the calculation:
- density of states at the Fermi level (states/eV per cell) = 10.88
- space group = R-3m (166)
- energy above the lowest structure with this stoichiometry (eV per formula unit) = 1.70
- DFT total energy (eV/atom) = -3.43

Unit cell a=3.518 b=3.518 c=33.021 alpha=90.00 beta=90.00 gamma=120.00
Fractional positions:
Nd: 0.000 0.000 0.102
Nd: 0.000 0.000 0.898
Nd: 0.333 0.667 0.565
Nd: 0.333 0.667 0.769
Nd: 0.667 0.333 0.231
Nd: 0.667 0.333 0.435
Cd: 0.000 0.000 0.000
Cd: 0.333 0.667 0.667
Cd: 0.667 0.333 0.333
Cu: 0.000 0.000 0.500
Cu: 0.333 0.667 0.167
Cu: 0.667 0.333 0.833

***

Record 4
Material: SrPa4N8
Method: DFT, PBE
State: optimized geometry

Values from the calculation:
- density of states at the Fermi level (states/eV per cell) = 9.81
- energy relative to the elements, uncorrected (eV/atom) = -1.37
- space group = C2/m (12)
- DFT total energy (eV/atom) = -9.55

Unit cell a=6.816 b=6.816 c=9.594 alpha=118.24 beta=118.24 gamma=31.66
Fractional positions:
Sr: 0.000 0.000 0.000
Pa: 0.165 0.165 0.807
Pa: 0.384 0.384 0.564
Pa: 0.616 0.616 0.436
Pa: 0.835 0.835 0.193
N: 0.029 0.029 0.281
N: 0.224 0.224 0.597
N: 0.339 0.339 0.010
N: 0.408 0.408 0.347
N: 0.592 0.592 0.653
N: 0.661 0.661 0.990
N: 0.776 0.776 0.403
N: 0.971 0.971 0.719